1.
{
  "formula": "HoTh3Sn5",
  "functional": "PBE",
  "state": "relaxed",
  "lattice": [[9.5719, 0.0000, 0.0000], [-4.7860, 8.2895, 0.0000], [0.0000, 0.0000, 6.4322]],
  "species": ["Ho", "Ho", "Th", "Th", "Th", "Th", "Th", "Th", "Sn", "Sn", "Sn", "Sn", "Sn", "Sn", "Sn", "Sn", "Sn", "Sn"],
  "frac_coords": [[0.0000, 0.0000, 0.0000], [0.0000, 0.0000, 0.5000], [0.0000, 0.3834, 0.2500], [0.0000, 0.6166, 0.7500], [0.3834, 0.0000, 0.2500], [0.3834, 0.3834, 0.7500], [0.6166, 0.0000, 0.7500], [0.6166, 0.6166, 0.2500], [0.0000, 0.2770, 0.7500], [0.0000, 0.7230, 0.2500], [0.2770, 0.0000, 0.7500], [0.2770, 0.2770, 0.2500], [0.3333, 0.6667, 0.0000], [0.3333, 0.6667, 0.5000], [0.6667, 0.3333, 0.0000], [0.6667, 0.3333, 0.5000], [0.7230, 0.0000, 0.2500], [0.7230, 0.7230, 0.7500]],
  "total_energy_ry_per_atom": -0.4260,
  "total_magnetization_mub_per_fu": 0.00,
  "dos_at_fermi_per_ev_atom": 0.86,
  "delta_e_f_ev_per_atom": -0.5908,
  "sg": "No. 193"
}

=====

2.
{
  "formula": "Sc2VOs",
  "functional": "PBE",
  "state": "relaxed",
  "lattice": [[1.4900, 0.8603, 9.6207], [-1.4900, 0.8603, 9.6207], [0.0000, -1.7205, 9.6207]],
  "species": ["Sc", "Sc", "V", "Os"],
  "frac_coords": [[0.0935, 0.0935, 0.0935], [0.9065, 0.9065, 0.9065], [0.0000, 0.0000, 0.0000], [0.5000, 0.5000, 0.5000]],
  "total_energy_ry_per_atom": -0.5794,
  "total_magnetization_mub_per_fu": 1.55,
  "dos_at_fermi_per_ev_atom": 1.07,
  "delta_e_f_ev_per_atom": 0.3697,
  "sg": "No. 166"
}